DFT (PBE with a Hubbard U) results for an optimized crystal structure of KMnIF2.

The structure belongs to space group P2_1/m (No. 11); the cell edges are 7.6608, 4.3151 and 8.4983 Å and the angles 90.00°, 97.29° and 90.00°. The asymmetric unit holds K at (0.2185, 0.2500, 0.1017), Mn at (0.0800, 0.2500, 0.6475), I at (0.4315, 0.2500, 0.7383), F at (0.0093, 0.7500, 0.5995) and F at (0.0399, 0.7500, 0.1558).

The calculation puts the total energy at -4.904 eV/atom. Its calculated volume is 278.66 Å³/cell.